CaBrN2 | the Alexandria database | PBE | relaxed; calculated volume = 17.7 Å³ per atom; crystal system = tetragonal; ΔE to the lowest computed polymorph = 266 meV/atom; formation energy without anion corrections = 0.96 eV/atom; DFT total energy = -4.126 eV/atom; Fermi-level density of states = 1.63 states/eV per cell
1.0
-2.461 2.461 5.843
2.461 -2.461 5.843
2.461 2.461 -5.843
Ca Br N
2 2 4
direct
0.000 0.000 0.000 Ca
0.750 0.250 0.500 Ca
0.250 0.750 0.500 Br
0.500 0.500 0.000 Br
0.174 0.625 0.049 N
0.375 0.424 0.549 N
0.576 0.125 0.951 N
0.875 0.826 0.451 N

***

Ca12Br3N5 | the Alexandria database | PBE | relaxed; calculated volume = 26.1 Å³ per atom; crystal system = cubic; formation energy without anion corrections = -0.76 eV/atom; DFT total energy = -4.298 eV/atom; Fermi-level density of states = 41.77 states/eV per cell
1.0
-8.055 8.055 8.055
8.055 -8.055 8.055
8.055 8.055 -8.055
Ca Br N
48 12 20
direct
0.001 0.188 0.109 Ca
0.001 0.314 0.892 Ca
0.078 0.688 0.686 Ca
0.078 0.891 0.392 Ca
0.108 0.609 0.422 Ca
0.108 0.999 0.686 Ca
0.109 0.001 0.188 Ca
0.109 0.608 0.922 Ca
0.186 0.188 0.578 Ca
0.186 0.499 0.608 Ca
0.188 0.109 0.001 Ca
0.188 0.578 0.186 Ca
0.312 0.314 0.922 Ca
0.312 0.499 0.391 Ca
0.314 0.892 0.001 Ca
0.314 0.922 0.312 Ca
0.391 0.312 0.499 Ca
0.391 0.578 0.892 Ca
0.392 0.078 0.891 Ca
0.392 0.814 0.501 Ca
0.422 0.108 0.609 Ca
0.422 0.814 0.812 Ca
0.499 0.391 0.312 Ca
0.499 0.608 0.186 Ca
0.501 0.392 0.814 Ca
0.501 0.609 0.688 Ca
0.578 0.186 0.188 Ca
0.578 0.892 0.391 Ca
0.608 0.186 0.499 Ca
0.608 0.922 0.109 Ca
0.609 0.422 0.108 Ca
0.609 0.688 0.501 Ca
0.686 0.078 0.688 Ca
0.686 0.108 0.999 Ca
0.688 0.501 0.609 Ca
0.688 0.686 0.078 Ca
0.812 0.422 0.814 Ca
0.812 0.891 0.999 Ca
0.814 0.501 0.392 Ca
0.814 0.812 0.422 Ca
0.891 0.392 0.078 Ca
0.891 0.999 0.812 Ca
0.892 0.001 0.314 Ca
0.892 0.391 0.578 Ca
0.922 0.109 0.608 Ca
0.922 0.312 0.314 Ca
0.999 0.686 0.108 Ca
0.999 0.812 0.891 Ca
0.125 0.250 0.375 Br
0.125 0.375 0.750 Br
0.250 0.375 0.125 Br
0.250 0.875 0.625 Br
0.375 0.125 0.250 Br
0.375 0.750 0.125 Br
0.625 0.250 0.875 Br
0.625 0.875 0.750 Br
0.750 0.125 0.375 Br
0.750 0.625 0.875 Br
0.875 0.625 0.250 Br
0.875 0.750 0.625 Br
0.000 0.000 0.000 N
0.000 0.000 0.500 N
0.000 0.500 0.000 N
0.000 0.500 0.500 N
0.125 0.750 0.875 N
0.125 0.875 0.250 N
0.250 0.125 0.875 N
0.250 0.625 0.375 N
0.375 0.250 0.625 N
0.375 0.625 0.750 N
0.500 0.000 0.000 N
0.500 0.000 0.500 N
0.500 0.500 0.000 N
0.500 0.500 0.500 N
0.625 0.375 0.250 N
0.625 0.750 0.375 N
0.750 0.375 0.625 N
0.750 0.875 0.125 N
0.875 0.125 0.750 N
0.875 0.250 0.125 N